1.
Computed, not measured: crystalline Be2TePb at its relaxed geometry at the PBE level of DFT.

Values from the calculation:
Total DFT energy (no corrections) ... -0.20505 Ry/atom
Polymorph energy (0 for the lowest one) ... 0.651 eV/atom
Density of states at the Fermi level ... 3.97 states/eV per cell

Cell: 6.416 7.080 3.519 Å, 90.00 90.00 90.00°
Positions (direct):
Be (0.250, 0.250, 0.000)
Be (0.250, 0.750, 0.000)
Be (0.750, 0.250, 0.000)
Be (0.750, 0.750, 0.000)
Te (0.000, 0.000, 0.500)
Te (0.500, 0.500, 0.500)
Pb (0.000, 0.500, 0.500)
Pb (0.500, 0.000, 0.500)



2.
Computed, not measured: crystalline BeTe2Pb at its relaxed geometry at the PBE level of DFT.

Values from the calculation:
Total DFT energy (no corrections) ... -0.20643 Ry/atom
Polymorph energy (0 for the lowest one) ... 0.845 eV/atom
Density of states at the Fermi level ... 13.50 states/eV per cell

Cell: 7.494 7.494 7.494 Å, 90.00 90.00 90.00°
Positions (direct):
Be (0.000, 0.000, 0.000)
Be (0.000, 0.500, 0.500)
Be (0.500, 0.000, 0.500)
Be (0.500, 0.500, 0.000)
Te (0.000, 0.000, 0.500)
Te (0.000, 0.500, 0.000)
Te (0.250, 0.250, 0.750)
Te (0.250, 0.750, 0.250)
Te (0.500, 0.000, 0.000)
Te (0.500, 0.500, 0.500)
Te (0.750, 0.250, 0.250)
Te (0.750, 0.750, 0.750)
Pb (0.250, 0.250, 0.250)
Pb (0.250, 0.750, 0.750)
Pb (0.750, 0.250, 0.750)
Pb (0.750, 0.750, 0.250)



3.
Computed, not measured: crystalline BeTePb at its relaxed geometry at the PBE level of DFT.

Values from the calculation:
Total DFT energy (no corrections) ... -0.22818 Ry/atom
Polymorph energy (0 for the lowest one) ... 0.366 eV/atom
Density of states at the Fermi level ... 2.26 states/eV per cell

Cell: 6.747 6.747 6.747 Å, 90.00 90.00 90.00°
Positions (direct):
Be (0.000, 0.000, 0.000)
Be (0.000, 0.500, 0.500)
Be (0.500, 0.000, 0.500)
Be (0.500, 0.500, 0.000)
Te (0.250, 0.250, 0.750)
Te (0.250, 0.750, 0.250)
Te (0.750, 0.250, 0.250)
Te (0.750, 0.750, 0.750)
Pb (0.250, 0.250, 0.250)
Pb (0.250, 0.750, 0.750)
Pb (0.750, 0.250, 0.750)
Pb (0.750, 0.750, 0.250)



4.
Computed, not measured: crystalline BeTe2Pb at its relaxed geometry at the PBE level of DFT.

Values from the calculation:
Total DFT energy (no corrections) ... -0.25207 Ry/atom
Polymorph energy (0 for the lowest one) ... 0.224 eV/atom
Density of states at the Fermi level ... 2.16 states/eV per cell

Cell: 14.545 3.807 4.498 Å, 90.00 99.72 90.00°
Positions (direct):
Be (0.000, 0.000, 0.000)
Be (0.500, 0.500, 0.000)
Te (0.119, 0.500, 0.921)
Te (0.397, 0.000, 0.077)
Te (0.619, 0.000, 0.921)
Te (0.897, 0.500, 0.077)
Pb (0.235, 0.000, 0.488)
Pb (0.735, 0.500, 0.488)



5.
Computed, not measured: crystalline BeTe2Pb at its relaxed geometry at the PBE level of DFT.

Values from the calculation:
Total DFT energy (no corrections) ... -0.23533 Ry/atom
Polymorph energy (0 for the lowest one) ... 0.451 eV/atom
Density of states at the Fermi level ... 3.42 states/eV per cell

Cell: 3.863 5.855 9.936 Å, 90.00 90.00 90.00°
Positions (direct):
Be (0.000, 0.000, 0.000)
Be (0.500, 0.500, 0.000)
Te (0.000, 0.000, 0.517)
Te (0.000, 0.500, 0.138)
Te (0.500, 0.000, 0.138)
Te (0.500, 0.500, 0.517)
Pb (0.000, 0.500, 0.785)
Pb (0.500, 0.000, 0.785)



6.
Computed, not measured: crystalline BeTe2Pb at its relaxed geometry at the PBE level of DFT.

Values from the calculation:
Total DFT energy (no corrections) ... -0.25608 Ry/atom
Polymorph energy (0 for the lowest one) ... 0.169 eV/atom
Density of states at the Fermi level ... 0.00 states/eV per cell

Cell: 4.995 4.995 22.890 Å, 90.00 90.00 120.00°
Positions (direct):
Be (0.000, 0.000, 0.000)
Be (0.333, 0.667, 0.667)
Be (0.667, 0.333, 0.333)
Te (0.000, 0.000, 0.097)
Te (0.000, 0.000, 0.903)
Te (0.333, 0.667, 0.569)
Te (0.333, 0.667, 0.764)
Te (0.667, 0.333, 0.236)
Te (0.667, 0.333, 0.431)
Pb (0.000, 0.000, 0.500)
Pb (0.333, 0.667, 0.167)
Pb (0.667, 0.333, 0.833)



7.
Computed, not measured: crystalline Be2TePb at its relaxed geometry at the PBE level of DFT.

Values from the calculation:
Total DFT energy (no corrections) ... -0.18760 Ry/atom
Polymorph energy (0 for the lowest one) ... 0.889 eV/atom
Density of states at the Fermi level ... 11.39 states/eV per cell

Cell: 7.035 7.035 7.035 Å, 90.00 90.00 90.00°
Positions (direct):
Be (0.000, 0.000, 0.000)
Be (0.000, 0.500, 0.500)
Be (0.250, 0.250, 0.250)
Be (0.250, 0.750, 0.750)
Be (0.500, 0.000, 0.500)
Be (0.500, 0.500, 0.000)
Be (0.750, 0.250, 0.750)
Be (0.750, 0.750, 0.250)
Te (0.250, 0.250, 0.750)
Te (0.250, 0.750, 0.250)
Te (0.750, 0.250, 0.250)
Te (0.750, 0.750, 0.750)
Pb (0.000, 0.000, 0.500)
Pb (0.000, 0.500, 0.000)
Pb (0.500, 0.000, 0.000)
Pb (0.500, 0.500, 0.500)



8.
Computed, not measured: crystalline BeTe4Pb at its relaxed geometry at the PBE level of DFT.

Values from the calculation:
Total DFT energy (no corrections) ... -0.19548 Ry/atom
Density of states at the Fermi level ... 3.00 states/eV per cell

Cell: 6.391 6.391 6.391 Å, 60.00 60.00 60.00°
Positions (direct):
Be (0.000, 0.000, 0.000)
Te (0.375, 0.375, 0.375)
Te (0.375, 0.375, 0.876)
Te (0.375, 0.876, 0.375)
Te (0.876, 0.375, 0.375)
Pb (0.750, 0.750, 0.750)



> Among the records above, which one has the highest density of states at the Fermi level?

number 2



> The highest total DFT energy (no corrections) belongs to which entry?

number 7



What did the seventh record say?
Computed, not measured: crystalline Be2TePb at its relaxed geometry at the PBE level of DFT.

Values from the calculation:
Total DFT energy (no corrections) ... -0.18760 Ry/atom
Polymorph energy (0 for the lowest one) ... 0.889 eV/atom
Density of states at the Fermi level ... 11.39 states/eV per cell

Cell: 7.035 7.035 7.035 Å, 90.00 90.00 90.00°
Positions (direct):
Be (0.000, 0.000, 0.000)
Be (0.000, 0.500, 0.500)
Be (0.250, 0.250, 0.250)
Be (0.250, 0.750, 0.750)
Be (0.500, 0.000, 0.500)
Be (0.500, 0.500, 0.000)
Be (0.750, 0.250, 0.750)
Be (0.750, 0.750, 0.250)
Te (0.250, 0.250, 0.750)
Te (0.250, 0.750, 0.250)
Te (0.750, 0.250, 0.250)
Te (0.750, 0.750, 0.750)
Pb (0.000, 0.000, 0.500)
Pb (0.000, 0.500, 0.000)
Pb (0.500, 0.000, 0.000)
Pb (0.500, 0.500, 0.500)



> Among the records above, which one has the lowest density of states at the Fermi level?

number 6